Entry from Alexandria: crystalline Cs3Np2PbS6 at its relaxed geometry (GGA-PBE). Values from VASP.

Summary:
ΔE_f (raw)	-14.68	eV per formula unit
D(E_F)	18.89	states/eV/f.u.

Quantum ESPRESSO input file:
```
&SYSTEM
  ibrav = 0, nat = 12, ntyp = 4
/
ATOMIC_SPECIES
Cs 132.91 Cs.upf
Np 237.00 Np.upf
Pb 207.20 Pb.upf
S 32.06 S.upf
CELL_PARAMETERS angstrom
3.6524 -6.3188 0.0000
3.6524 6.3188 0.0000
-2.4249 0.0000 8.0179
ATOMIC_POSITIONS crystal
Cs 0.0000 0.0000 0.0000
Cs 0.3414 0.6586 0.0000
Cs 0.6586 0.3414 0.0000
Np 0.1672 0.8328 0.5000
Np 0.8328 0.1672 0.5000
Pb 0.5000 0.5000 0.5000
S 0.0777 0.4383 0.3153
S 0.2005 0.2005 0.6811
S 0.4383 0.0777 0.3153
S 0.5617 0.9223 0.6847
S 0.7995 0.7995 0.3189
S 0.9223 0.5617 0.6847
```

Entry from Alexandria: crystalline CoMo3 at its relaxed geometry (GGA-PBE). Values from VASP.

Summary:
E_form	0.3	eV/f.u.
D(E_F)	3.34	states/eV/f.u.

Quantum ESPRESSO input file:
```
&SYSTEM
  ibrav = 0, nat = 4, ntyp = 2
/
ATOMIC_SPECIES
Co 58.93 Co.upf
Mo 95.94 Mo.upf
CELL_PARAMETERS angstrom
1.6447 -2.1206 0.0000
1.6447 2.1206 0.0000
0.0000 0.0000 8.3304
ATOMIC_POSITIONS crystal
Co 0.0000 0.0000 0.0000
Mo 0.0000 0.0000 0.5000
Mo 0.5000 0.5000 0.2273
Mo 0.5000 0.5000 0.7727
```

Respective total magnetic moment values: 7.000, 0.001 μB per formula unit.